1.
PBE-GGA Ba2TaSbS6, relaxed; mass density = 4915 kg/m3; uncorrected energy = -56.20 eV for the cell shown; crystal system = cubic
1.0
6.668 -2.497 -0.796
2.406 -5.218 4.280
1.071 -6.579 -2.627
Ba S Sb Ta
2 6 1 1
Cartesian
2.536 -3.574 0.214
7.609 -10.721 0.642
5.901 -4.731 -0.208
3.687 -6.145 2.429
7.152 -7.442 2.016
2.993 -6.852 -1.159
6.458 -8.150 -1.573
4.243 -9.563 1.065
5.072 -7.147 0.428
0.000 0.000 0.000

=====

2.
PBE-GGA Ba2ScTcS6, relaxed; mass density = 4334 kg/m3; uncorrected energy = -58.56 eV for the cell shown; crystal system = cubic
1.0
0.000 4.889 4.889
4.889 0.000 4.889
4.889 4.889 0.000
Ba S Sc Tc
2 6 1 1
Cartesian
2.444 2.444 2.444
7.333 7.333 7.333
4.889 2.381 4.889
2.381 4.889 4.889
4.889 4.889 7.397
4.889 4.889 2.381
4.889 7.397 4.889
7.397 4.889 4.889
4.889 4.889 4.889
0.000 0.000 0.000

=====

3.
PBE-GGA Ba2ScTcS6, relaxed; mass density = 4334 kg/m3; uncorrected energy = -58.56 eV for the cell shown; crystal system = triclinic
1.0
-2.797 -3.971 4.920
3.972 -4.385 3.576
1.397 1.245 6.656
Ba S Sc Tc
2 6 1 1
Cartesian
2.628 -3.970 5.576
-0.057 -3.141 9.575
1.181 -5.962 7.996
-0.756 -3.826 6.257
0.683 -1.786 3.739
1.889 -5.325 11.412
3.328 -3.285 8.895
1.391 -1.148 7.156
-0.700 -1.363 5.788
1.986 -2.193 1.788